The following is a DFT calculation (PBE) of a relaxed structure of BaTl4Pb2.

```
BaTl4Pb2
1.0
-3.262 4.038 4.505
3.262 -4.038 4.505
3.262 4.038 -4.505
Ba Tl Pb
1 4 2
Direct
0.000 0.000 0.000
0.007 0.309 0.698
0.389 0.691 0.698
0.611 0.309 0.302
0.993 0.691 0.302
0.500 0.247 0.747
0.500 0.753 0.253
```

Output
E_form in meV/atom: -156
Energy in eV per cell: -19.9
Density in g/cm³: 9.577
Crystal system: orthorhombic
Energy relative to the lowest polymorph listed for this composition in eV per atom: 0.000
Space group: Immm, No. 71